No. 1
VASP calculation (PBE-GGA) on Y3Er6Zr after structural relaxation.

Structure (POSCAR):
```
Y3Er6Zr
1.0
4.7956 0.0000 -1.0147
0.0000 11.3362 0.0000
-2.4367 0.0000 12.1040
Y Er Zr
6 12 2
Cartesian
-0.3961 1.7306 9.9048
2.3978 5.6681 -0.5074
2.7550 9.6056 1.1845
3.2201 3.9375 3.3454
-1.2184 0.0000 6.0520
-0.8612 7.3987 7.7438
-0.3744 9.7115 10.0083
1.1649 8.8949 5.4764
0.5116 5.7375 2.3892
1.8473 5.5987 8.7001
1.1940 2.4413 5.6128
2.7333 1.6248 1.0810
3.2418 7.2929 3.4490
2.3444 8.1094 11.0210
1.6911 11.2668 7.9338
0.6678 0.0694 3.1554
0.0145 3.2268 0.0682
-0.8829 4.0434 7.6403
1.1794 5.6681 5.5446
0.0000 0.0000 0.0000
```

calculated formation energy: 204 meV per atom
crystal system: monoclinic
N(E_F): 30.49 states/eV/cell

***

No. 2
VASP calculation (PBE-GGA) on Tb3HoPd after structural relaxation.

Structure (POSCAR):
```
Tb3HoPd
1.0
3.6636 0.0000 0.6020
1.7746 6.1085 0.6491
-0.1867 -0.5355 12.5854
Tb Ho Pd
6 2 2
Cartesian
3.3005 5.6214 2.8119
3.9294 4.0627 10.4332
0.5622 0.6798 8.0272
3.6399 0.1337 12.1950
2.8772 0.0533 5.3881
2.5818 3.5409 7.1857
1.2333 2.9186 3.9434
1.6254 2.9046 13.0060
3.3795 1.9451 2.3308
2.0728 1.6640 10.2831
```

energy relative to the lowest polymorph listed for this composition: 0.0000 eV per atom
calculated formation energy: -355 meV per atom
crystal system: monoclinic
N(E_F): 11.92 states/eV/cell

***

No. 3
VASP calculation (PBE-GGA) on Sr3Zn8Cu3 after structural relaxation.

Structure (POSCAR):
```
Sr3Zn8Cu3
1.0
4.4352 0.0000 0.0000
2.2176 8.0825 -0.1372
2.2176 2.0685 7.8145
Sr Zn Cu
3 8 3
Cartesian
4.4352 5.0755 3.8387
4.4352 1.8784 1.4206
4.4352 8.2726 6.2567
4.4352 2.2230 5.2713
4.4352 7.9280 2.4060
4.4352 5.6774 0.7039
4.4352 4.4735 6.9735
6.6527 7.8655 3.9186
2.2176 2.2855 3.7587
6.6527 5.9120 6.5015
2.2176 4.2390 1.1759
2.2176 0.0000 0.0000
2.2176 6.7233 1.6600
2.2176 3.4277 6.0174
```

calculated formation energy: -166 meV per atom
crystal system: orthorhombic
N(E_F): 5.25 states/eV/cell

***

No. 4
VASP calculation (PBE-GGA) on Zn2Ga2P after structural relaxation.

Structure (POSCAR):
```
Zn2Ga2P
1.0
6.7556 0.0000 0.0000
0.0000 6.7556 0.0000
0.0000 0.0000 3.9705
P Zn Ga
2 4 4
Cartesian
0.0000 0.0000 0.0000
3.3778 3.3778 0.0000
1.0015 4.3793 1.9853
4.3793 5.7542 1.9853
5.7542 2.3764 1.9853
2.3764 1.0015 1.9853
2.3178 5.6956 0.0000
5.6956 4.4378 0.0000
4.4378 1.0600 0.0000
1.0600 2.3178 0.0000
```

energy relative to the lowest polymorph listed for this composition: 0.0768 eV per atom
calculated formation energy: 224 meV per atom
crystal system: tetragonal
N(E_F): 3.13 states/eV/cell